A relaxed Mn2ReCl crystal. Source: the Alexandria database, functional GGA-PBE.

```
Mn2ReCl
1.0
4.718 -0.062 0.025
-1.312 4.533 0.025
-0.019 -0.025 2.858
Mn Cl Re
2 1 1
Direct
0.500 0.500 0.000
0.000 0.000 0.000
0.000 0.500 0.500
0.500 0.000 0.500
```

Computed properties:
As for the formation energy without anion corrections: 649 meV per atom. For the energy above the most stable polymorph in this dataset, the calculation gives 2.20 eV per formula unit.